(1)
The following is a DFT calculation (PBE) of a relaxed structure of Ac3La3Nd2.

Values from the calculation:
volume	316.3	Å³/f.u.
density of states at the Fermi level	49.43	states/eV per cell
ΔH_f (0 K)	7.9	kJ per mole of atoms

abc: 5.532 11.857 19.289
angles: 90.00 90.00 90.00
Space group Cmcm (No. 63)
Symmetry-distinct sites (fractional):
Ac 0.000 0.067 0.250 x4
Ac 0.000 0.153 0.038 x8
La 0.000 0.373 0.250 x4
La 0.000 0.451 0.087 x8
Nd 0.000 0.244 0.656 x8

***

(2)
The following is a DFT calculation (PBE) of a relaxed structure of Ac5La2Nd.

Values from the calculation:
volume	337.8	Å³/f.u.
density of states at the Fermi level	47.73	states/eV per cell
ΔH_f (0 K)	9.5	kJ per mole of atoms

abc: 5.847 12.708 18.185
angles: 90.00 90.00 90.00
Space group Cmcm (No. 63)
Symmetry-distinct sites (fractional):
Ac 0.000 0.007 0.250 x4
Ac 0.000 0.142 0.544 x8
Ac 0.000 0.446 0.599 x8
La 0.000 0.256 0.144 x8
Nd 0.000 0.269 0.750 x4

***

(3)
The following is a DFT calculation (PBE) of a relaxed structure of Ac4La8Nd.

Values from the calculation:
volume	540.9	Å³/f.u.
density of states at the Fermi level	84.36	states/eV per cell
ΔH_f (0 K)	35.9	kJ per mole of atoms

abc: 12.3932 12.3932 12.2002
angles: 90.00 90.00 120.00
Space group R-3m (No. 166, hexagonal axes)
Symmetry-distinct sites (fractional):
Ac 0.0000 0.0000 0.0000 x3
Ac 0.0000 0.5000 0.0000 x9
La 0.0000 0.0000 0.2503 x6
La 0.0082 0.5041 0.6629 x18
Nd 0.0000 0.0000 0.5000 x3

***

(4)
The following is a DFT calculation (PBE) of a relaxed structure of Ac2La2Nd15.

Values from the calculation:
volume	713.7	Å³/f.u.
density of states at the Fermi level	97.17	states/eV per cell
ΔH_f (0 K)	22.8	kJ per mole of atoms

abc: 11.6732 11.6732 18.1426
angles: 90.00 90.00 120.00
Space group R-3m (No. 166, hexagonal axes)
Symmetry-distinct sites (fractional):
Ac 0.0000 0.0000 0.1030 x6
La 0.0000 0.0000 0.3302 x6
Nd 0.0000 0.3034 0.0000 x18
Nd 0.0000 0.5000 0.5000 x9
Nd 0.0192 0.5096 0.1380 x18

***

(5)
The following is a DFT calculation (PBE) of a relaxed structure of Ac7La4Nd.

Values from the calculation:
volume	501.1	Å³/f.u.
density of states at the Fermi level	20.39	states/eV per cell
ΔH_f (0 K)	6.8	kJ per mole of atoms

abc: 6.595 7.415 10.671
angles: 105.83 93.15 90.56
Space group P-1 (No. 2)
Symmetry-distinct sites (fractional):
Ac 0.000 0.000 0.000 x1
Ac 0.057 0.832 0.333 x2
Ac 0.428 0.246 0.493 x2
Ac 0.470 0.132 0.848 x2
La 0.099 0.663 0.669 x2
La 0.408 0.395 0.192 x2
Nd 0.000 0.500 0.000 x1

***

(6)
The following is a DFT calculation (PBE) of a relaxed structure of Ac12La7Nd.

Values from the calculation:
volume	858.5	Å³/f.u.
density of states at the Fermi level	83.34	states/eV per cell
ΔH_f (0 K)	17.4	kJ per mole of atoms

abc: 21.0233 21.0233 6.7290
angles: 90.00 90.00 120.00
Space group R-3 (No. 148, hexagonal axes)
Symmetry-distinct sites (fractional):
Ac 0.9997 0.4122 0.9998 x18
Ac 0.1009 0.5501 0.4790 x18
La 0.0000 0.0000 0.0000 x3
La 0.0812 0.1634 0.3001 x18
Nd 0.0000 0.0000 0.5000 x3